A plane-wave DFT calculation with PBE was carried out for crystalline Na2Cu2SbO6 at its relaxed geometry.

a = 5.2690 Å, b = 5.2690 Å, c = 5.5788 Å
α = 90.00°, β = 90.00°, γ = 120.00°
Space group P-31m (No. 162)
Symmetry-distinct sites (fractional):
1 Na 0.3333 0.6667 0.0000 (multiplicity 2)
2 Cu 0.3333 0.6667 0.5000 (multiplicity 2)
3 Sb 0.0000 0.0000 0.5000 (multiplicity 1)
4 O 0.0000 0.3260 0.3063 (multiplicity 6)

## Properties
Formation energy (no corrections)   -1.128 eV/atom
Magnetization   3.00 μB/cell
Fermi-level density of states   0.380 states/eV per atom